Entry 1:
Compound: La7Ce2Nd2
Source: Alexandria via LeMat-Bulk
Functional: PBE
Structure: relaxed

Properties
- Size of the total moment: 1.86 μB/f.u.
- Calculated formation energy: 0.18 eV/atom
- Volume: 35.53 A^3/atom

a b c (Å): 10.3730 9.0470 8.6060
angles (deg): 90.00 104.55 90.00
Space group C2/m (No. 12)
One atom of each set of equivalent atoms:
La 0.0000 0.0000 0.0000 [2 per cell]
La 0.0812 0.5000 0.8382 [4 per cell]
La 0.2084 0.2951 0.1831 [8 per cell]
Ce 0.0000 0.1512 0.5000 [4 per cell]
Nd 0.1964 0.5000 0.5223 [4 per cell]

=====

Entry 2:
Compound: NbP3Pb
Source: Alexandria via LeMat-Bulk
Functional: PBE
Structure: relaxed

Properties
- Size of the total moment: 0.02 μB/f.u.
- Calculated formation energy: 1.80 eV/atom
- Volume: 24.86 A^3/atom
- Excess energy over the best structure of this formula in the dataset: 1601 meV/atom

a b c (Å): 4.9908 4.9908 4.9908
angles (deg): 90.00 90.00 90.00
Space group Pm-3m (No. 221)
One atom of each set of equivalent atoms:
Nb 0.0000 0.0000 0.0000 [1 per cell]
P 0.0000 0.5000 0.5000 [3 per cell]
Pb 0.5000 0.5000 0.5000 [1 per cell]

=====

Entry 3:
Compound: NaPdBr3
Source: Alexandria via LeMat-Bulk
Functional: PBE
Structure: relaxed

Properties
- Size of the total moment: 0.00 μB/f.u.
- Raw formation energy: -66.4 kJ/mol of atoms
- Volume: 28.22 A^3/atom
- Excess energy over the best structure of this formula in the dataset: 93 meV/atom

a b c (Å): 5.2058 5.2058 5.2058
angles (deg): 90.00 90.00 90.00
Space group Pm-3m (No. 221)
One atom of each set of equivalent atoms:
Na 0.0000 0.0000 0.0000 [1 per cell]
Pd 0.5000 0.5000 0.5000 [1 per cell]
Br 0.0000 0.5000 0.5000 [3 per cell]

=====

Entry 4:
Compound: Ba2TiBi5
Source: Alexandria via LeMat-Bulk
Functional: PBE
Structure: relaxed

Properties
- Size of the total moment: 0.00 μB/f.u.
- Calculated formation energy: -0.36 eV/atom
- Volume: 37.08 A^3/atom

a b c (Å): 7.5188 7.5188 10.4950
angles (deg): 90.00 90.00 90.00
Space group I4mm (No. 107)
One atom of each set of equivalent atoms:
Ba 0.0000 0.5000 0.0000 [4 per cell]
Ti 0.0000 0.0000 0.2532 [2 per cell]
Bi 0.0000 0.0000 0.5221 [2 per cell]
Bi 0.2358 0.2358 0.7531 [8 per cell]

=====

Entry 5:
Compound: Nd2Ho6Cd
Source: Alexandria via LeMat-Bulk
Functional: PBE
Structure: relaxed

Properties
- Size of the total moment: 0.00 μB/f.u.
- Calculated formation energy: 0.02 eV/atom
- Volume: 30.72 A^3/atom

a b c (Å): 9.8344 10.2686 5.4752
angles (deg): 90.00 90.00 90.00
Space group Pnnm (No. 58)
One atom of each set of equivalent atoms:
Nd 0.1926 0.2433 0.0000 [4 per cell]
Ho 0.0195 0.3214 0.5000 [4 per cell]
Ho 0.1378 0.8936 0.0000 [4 per cell]
Ho 0.1789 0.5688 0.0000 [4 per cell]
Cd 0.0000 0.0000 0.5000 [2 per cell]

=====

Entry 6:
Compound: Ho2AlZn3Au4
Source: Alexandria via LeMat-Bulk
Functional: PBE
Structure: relaxed

Properties
- Size of the total moment: 0.00 μB/f.u.
- Calculated formation energy: -0.52 eV/atom
- Volume: 19.67 A^3/atom

a b c (Å): 4.1171 4.1171 11.6050
angles (deg): 90.00 90.00 90.00
Space group P-4m2 (No. 115)
One atom of each set of equivalent atoms:
Ho 0.0000 0.5000 0.2481 [2 per cell]
Al 0.0000 0.0000 0.5000 [1 per cell]
Zn 0.0000 0.5000 0.8597 [2 per cell]
Zn 0.5000 0.5000 0.5000 [1 per cell]
Au 0.0000 0.0000 0.0000 [1 per cell]
Au 0.0000 0.5000 0.6429 [2 per cell]
Au 0.5000 0.5000 0.0000 [1 per cell]